[1]
# MgBeTe2

MgBeTe2 after structural relaxation (GGA-PBE, Alexandria).

As for the total moment: 0.000 μB/atom. The calculation puts the uncorrected formation energy at -14 meV/atom. The calculation puts the polymorph energy (0 for the lowest one) at 54.1 kJ per mole of atoms.

```
MgBeTe2
1.0
1.845 -4.657 0.000
1.845 4.657 0.000
0.000 0.000 7.833
Mg Be Te
1 1 2
direct
0.000 0.000 0.000
0.000 0.000 0.500
0.500 0.500 0.280
0.500 0.500 0.720
```

=====

[2]
# Tc5Ge

Tc5Ge after structural relaxation (GGA-PBE, Alexandria).

As for the total moment: 0.000 μB/atom. For the formation energy from the elements, the calculation gives 0.17 eV/atom. The calculation puts the polymorph energy (0 for the lowest one) at 10.0 kJ per mole of atoms.

```
Tc5Ge
1.0
4.886 0.000 0.000
0.000 4.948 0.000
0.000 0.000 7.439
Tc Ge
10 2
direct
0.000 0.000 0.062
0.238 0.640 0.598
0.249 0.132 0.745
0.251 0.632 0.255
0.262 0.140 0.402
0.500 0.500 0.938
0.738 0.860 0.402
0.749 0.368 0.255
0.751 0.868 0.745
0.762 0.360 0.598
0.000 0.500 0.933
0.500 0.000 0.067
```

=====

[3]
# Pr3Cu3Bi4

Pr3Cu3Bi4 after structural relaxation (GGA-PBE, Alexandria).

As for the total moment: 0.000 μB/atom. For the formation energy from the elements, the calculation gives -0.59 eV/atom.

```
Pr3Cu3Bi4
1.0
-5.027 5.027 5.027
5.027 -5.027 5.027
5.027 5.027 -5.027
Pr Cu Bi
6 6 8
direct
0.125 0.750 0.875
0.250 0.625 0.375
0.375 0.250 0.625
0.625 0.375 0.250
0.750 0.875 0.125
0.875 0.125 0.750
0.125 0.875 0.250
0.250 0.125 0.875
0.375 0.625 0.750
0.625 0.750 0.375
0.750 0.375 0.625
0.875 0.250 0.125
0.000 0.335 0.500
0.000 0.835 0.500
0.165 0.165 0.165
0.335 0.500 0.000
0.500 0.000 0.335
0.500 0.000 0.835
0.665 0.665 0.665
0.835 0.500 0.000
```

=====

[4]
# LaTm4Mg

LaTm4Mg after structural relaxation (GGA-PBE, Alexandria).

As for the total moment: 0.000 μB/atom. For the formation energy from the elements, the calculation gives 0.03 eV/atom. The calculation puts the polymorph energy (0 for the lowest one) at 3.1 kJ per mole of atoms.

```
LaTm4Mg
1.0
2.702 -6.074 0.000
2.702 6.074 0.000
0.000 0.000 11.060
La Tm Mg
2 8 2
direct
0.179 0.821 0.500
0.821 0.179 0.000
0.021 0.979 0.212
0.166 0.834 0.940
0.322 0.678 0.219
0.492 0.508 0.481
0.508 0.492 0.981
0.678 0.322 0.719
0.834 0.166 0.440
0.979 0.021 0.712
0.347 0.653 0.735
0.653 0.347 0.235
```